Ca2CrBO | GGA+U | optimized geometry

Cell: 5.7810 5.7810 3.1874 Å, 90.00 90.00 90.00°
Space group P4/mmm (No. 123)
One atom of each set of equivalent atoms:
Ca 0.0000 0.5000 0.0000 x2
Cr 0.0000 0.0000 0.5000 x1
B 0.5000 0.5000 0.0000 x1
O 0.5000 0.5000 0.5000 x1

DFT total energy = -21.6 eV per formula unit
DOS at the Fermi energy = 4.193 states/eV/f.u.
M_tot = 5.10 μB per formula unit
Crystal system = tetragonal